(1)
## Nd8Er2Hg (GGA-PBE)

Data for an optimized crystal structure of Nd8Er2Hg.

The structure in POSCAR format:
```
Nd8Er2Hg
1.0
-2.779 -1.812 4.543
-4.411 -4.736 -4.587
8.818 -3.190 0.639
Nd Hg Er
8 1 2
direct
0.614 0.427 0.229 Nd
0.010 0.757 0.020 Nd
0.180 0.220 0.360 Nd
0.386 0.573 0.771 Nd
0.820 0.780 0.640 Nd
0.990 0.243 0.980 Nd
0.661 0.913 0.321 Nd
0.339 0.087 0.679 Nd
0.500 0.000 0.000 Hg
0.810 0.340 0.619 Er
0.190 0.660 0.381 Er
```

Values from the calculation:
Total DFT energy (no corrections)   -0.3171 Ry/atom
DOS(E_F)   15.6 states/eV/f.u.
Calculated formation energy   0.0097 eV/atom
Magnetic moment   0.000 μB per cell
SG   C2/m
Crystal system   monoclinic

(2)
## AlOsS2 (GGA-PBE)

Data for an optimized crystal structure of AlOsS2.

The structure in POSCAR format:
```
AlOsS2
1.0
-3.606 -0.783 6.481
-0.983 -3.128 6.699
-0.381 0.265 7.444
S Al Os
2 1 1
direct
0.111 0.111 0.111 S
0.889 0.889 0.889 S
0.000 0.000 0.000 Al
0.500 0.500 0.500 Os
```

Values from the calculation:
Total DFT energy (no corrections)   -0.4244 Ry/atom
Raw formation energy   33 meV/atom
DOS(E_F)   2.7 states/eV/f.u.
Magnetic moment   0.000 μB per cell
SG   R-3m
Crystal system   trigonal

(3)
## TaCF3 (GGA-PBE)

Data for an optimized crystal structure of TaCF3.

The structure in POSCAR format:
```
TaCF3
1.0
4.099 0.000 0.000
0.000 4.099 0.000
0.000 0.000 4.099
F Ta C
3 1 1
direct
0.000 0.000 0.500 F
0.000 0.500 0.000 F
0.500 0.000 0.000 F
0.000 0.000 0.000 Ta
0.500 0.500 0.500 C
```

Values from the calculation:
Total DFT energy (no corrections)   -0.4342 Ry/atom
Raw formation energy   -570 meV/atom
DOS(E_F)   2.3 states/eV/f.u.
Magnetic moment   3.980 μB per cell
Energy above the most stable polymorph in this dataset   0 meV/atom
SG   Pm-3m
Crystal system   cubic

(4)
## Pm3PdI3 (GGA-PBE)

Data for an optimized crystal structure of Pm3PdI3.

The structure in POSCAR format:
```
Pm3PdI3
1.0
4.217 0.000 0.000
0.000 9.301 -0.393
0.000 0.135 12.575
Pd I Pm
2 6 6
direct
0.250 0.894 0.381 Pd
0.750 0.106 0.619 Pd
0.250 0.858 0.887 I
0.250 0.393 0.367 I
0.250 0.376 0.874 I
0.750 0.142 0.113 I
0.750 0.624 0.126 I
0.750 0.607 0.633 I
0.750 0.689 0.380 Pm
0.250 0.311 0.620 Pm
0.250 0.897 0.619 Pm
0.750 0.103 0.381 Pm
0.250 0.885 0.154 Pm
0.750 0.115 0.846 Pm
```

Values from the calculation:
Total DFT energy (no corrections)   -0.3307 Ry/atom
Raw formation energy   -1057 meV/atom
DOS(E_F)   6.6 states/eV/f.u.
Magnetic moment   0.000 μB per cell
SG   P2_1/m
Crystal system   monoclinic

DOS(E_F) of number 4 (Pm3PdI3)?
6.6 states/eV/f.u.

Among the records above, which one has the lowest DOS(E_F)?
TaCF3

Please write out number 3 again, unchanged.
## TaCF3 (GGA-PBE)

Data for an optimized crystal structure of TaCF3.

The structure in POSCAR format:
```
TaCF3
1.0
4.099 0.000 0.000
0.000 4.099 0.000
0.000 0.000 4.099
F Ta C
3 1 1
direct
0.000 0.000 0.500 F
0.000 0.500 0.000 F
0.500 0.000 0.000 F
0.000 0.000 0.000 Ta
0.500 0.500 0.500 C
```

Values from the calculation:
Total DFT energy (no corrections)   -0.4342 Ry/atom
Raw formation energy   -570 meV/atom
DOS(E_F)   2.3 states/eV/f.u.
Magnetic moment   3.980 μB per cell
Energy above the most stable polymorph in this dataset   0 meV/atom
SG   Pm-3m
Crystal system   cubic